# MgNi2Au

MgNi2Au after structural relaxation (PBE-GGA, Alexandria via LeMat-Bulk).

DOS at the Fermi energy = 4.34 states/eV/f.u.
total DFT energy (no corrections) = -0.145 hartree per atom
formation energy = 0.153 eV/atom

Cell lengths 3.699, 3.699, 9.456 Å; angles 78.72, 78.72, 90.00 degrees
Fractional coordinates of all 8 atoms:
Ni 0.643 0.125 0.250
Ni 0.107 0.625 0.250
Ni 0.375 0.357 0.750
Ni 0.875 0.893 0.750
Mg 0.500 0.500 0.000
Mg 0.250 0.750 0.500
Au 0.000 0.000 0.000
Au 0.750 0.250 0.500

---

# MgNiAu3

MgNiAu3 after structural relaxation (PBE-GGA, Alexandria via LeMat-Bulk).

DOS at the Fermi energy = 3.13 states/eV/f.u.
total DFT energy (no corrections) = -0.115 hartree per atom
energy above the lowest structure with this stoichiometry = 0.00 kcal/mol of atoms
formation energy = 0.318 eV/atom

Cell lengths 4.770, 4.770, 4.770 Å; angles 90.00, 90.00, 90.00 degrees
Fractional coordinates of all 5 atoms:
Ni 0.000 0.000 0.000
Mg 0.500 0.500 0.500
Au 0.000 0.500 0.000
Au 0.000 0.000 0.500
Au 0.500 0.000 0.000

---

# MgNi2Au

MgNi2Au after structural relaxation (PBE-GGA, Alexandria via LeMat-Bulk).

DOS at the Fermi energy = 3.96 states/eV/f.u.
total DFT energy (no corrections) = -0.154 hartree per atom
formation energy = -0.080 eV/atom

Cell lengths 4.698, 4.698, 4.536 Å; angles 77.65, 77.65, 35.71 degrees
Fractional coordinates of all 4 atoms:
Au 0.750 0.750 0.750
Mg 0.250 0.250 0.250
Ni 0.001 0.001 0.999
Ni 0.499 0.499 0.501

---

# Mg2NiAu

Mg2NiAu after structural relaxation (PBE-GGA, Alexandria via LeMat-Bulk).

DOS at the Fermi energy = 2.81 states/eV/f.u.
total DFT energy (no corrections) = -0.113 hartree per atom
formation energy = -0.004 eV/atom

Cell lengths 9.144, 9.144, 9.144 Å; angles 18.90, 18.90, 18.90 degrees
Fractional coordinates of all 4 atoms:
Au 0.756 0.756 0.756
Mg 0.007 0.007 0.007
Mg 0.238 0.238 0.238
Ni 0.500 0.500 0.500

---

# Mg2NiAu

Mg2NiAu after structural relaxation (PBE-GGA, Alexandria via LeMat-Bulk).

DOS at the Fermi energy = 1.75 states/eV/f.u.
total DFT energy (no corrections) = -0.126 hartree per atom
formation energy = -0.358 eV/atom

Cell lengths 4.372, 3.379, 4.372 Å; angles 90.00, 90.00, 90.00 degrees
Fractional coordinates of all 4 atoms:
Au 0.500 0.625 0.875
Mg 0.000 0.125 0.875
Mg 0.500 0.125 0.375
Ni 0.000 0.625 0.375

---

# MgNi2Au

MgNi2Au after structural relaxation (PBE-GGA, Alexandria via LeMat-Bulk).

DOS at the Fermi energy = 4.43 states/eV/f.u.
total DFT energy (no corrections) = -0.154 hartree per atom
formation energy = -0.075 eV/atom

Cell lengths 2.841, 3.659, 5.466 Å; angles 90.00, 90.00, 90.00 degrees
Fractional coordinates of all 4 atoms:
Au 0.500 0.500 0.250
Mg 0.500 0.500 0.750
Ni 0.000 0.000 0.997
Ni 0.000 0.000 0.503

---

# Mg6NiAu5

Mg6NiAu5 after structural relaxation (PBE-GGA, Alexandria via LeMat-Bulk).

DOS at the Fermi energy = 3.76 states/eV/f.u.
total DFT energy (no corrections) = -0.116 hartree per atom
formation energy = -0.523 eV/atom

Cell lengths 4.560, 6.723, 7.230 Å; angles 90.00, 71.06, 90.00 degrees
Fractional coordinates of all 12 atoms:
Ni 0.000 0.000 0.000
Mg 0.836 0.758 0.326
Mg 0.836 0.242 0.326
Mg 0.500 0.246 0.000
Mg 0.500 0.754 0.000
Mg 0.164 0.758 0.674
Mg 0.164 0.242 0.674
Au 0.671 0.500 0.658
Au 0.338 0.000 0.322
Au 0.000 0.500 0.000
Au 0.662 0.000 0.678
Au 0.329 0.500 0.342

---

# MgNi2Au

MgNi2Au after structural relaxation (PBE-GGA, Alexandria via LeMat-Bulk).

DOS at the Fermi energy = 5.71 states/eV/f.u.
total DFT energy (no corrections) = -0.157 hartree per atom
formation energy = -0.162 eV/atom

Cell lengths 4.645, 4.645, 4.645 Å; angles 130.85, 130.85, 72.05 degrees
Fractional coordinates of all 4 atoms:
Au 0.500 0.500 0.000
Mg 0.750 0.250 0.500
Ni 0.000 0.000 0.000
Ni 0.250 0.750 0.500

---

Question: The highest DOS at the Fermi energy belongs to which entry?
Answer: number 8

---

Question: Which of these has the highest total DFT energy (no corrections)?
Answer: number 4